Tm3Mg3Cd2Ag | OQMD | GGA-PBE | optimized geometry; electronic total energy = -2.7641 eV/atom; ρ = 7.02 g/cm³; space group = P-62m, No. 189
1.0
7.6202 0.0000 0.0000
-3.8101 6.5993 0.0000
0.0000 0.0000 4.2908
Tm Mg Cd Ag
3 3 2 1
Cartesian
-2.2472 3.8924 0.0000
1.5629 2.7070 0.0000
4.4945 0.0000 0.0000
-0.9222 1.5973 2.1454
1.8444 0.0000 2.1454
2.8879 5.0020 2.1454
0.0000 4.3995 2.1454
3.8101 2.1998 2.1454
0.0000 0.0000 0.0000